! ReNiHg2 GGA-PBE relaxed; values from VASP
&SYSTEM
  ibrav = 0, nat = 4, ntyp = 3
/
ATOMIC_SPECIES
Hg 200.59 Hg.upf
Re 186.21 Re.upf
Ni 58.69 Ni.upf
ATOMIC_POSITIONS angstrom
Hg 0.804 -0.660 -2.698
Hg 0.000 0.000 0.000
Re -0.833 -2.812 -1.903
Ni -2.422 -0.457 -1.365
CELL_PARAMETERS angstrom
-0.786 1.695 -2.160
2.393 -3.015 -3.236
-4.059 -2.608 -0.571
! **Energy of formation from the pure elements**: 0.8318 eV/atom
! **Energy above the most stable polymorph in this dataset**: 402.8 meV/atom
! **Theoretical density**: 15.4 g/cm³


! Ca4AsSCl2 GGA-PBE relaxed; values from VASP
&SYSTEM
  ibrav = 0, nat = 8, ntyp = 4
/
ATOMIC_SPECIES
Cl 35.45 Cl.upf
As 74.92 As.upf
S 32.06 S.upf
Ca 40.08 Ca.upf
ATOMIC_POSITIONS angstrom
Cl 0.055 2.301 3.460
Cl 1.889 6.031 3.424
As 4.160 2.608 3.181
S 2.327 -1.122 3.217
Ca 6.090 3.989 4.727
Ca 4.262 0.250 4.761
Ca 0.452 -0.202 5.131
Ca 2.281 3.537 5.097
CELL_PARAMETERS angstrom
-1.778 -1.428 3.496
6.432 -0.816 2.938
1.889 6.031 3.424
! **Formation energy (no corrections)**: -1.749 eV/atom
! **Theoretical density**: 2.8 g/cm³